Model i:
Entry from the Alexandria database: an optimized crystal structure of TlCu2I6 (PBE).

Calculated volume (Å³/atom): 44.255

Unit cell a=11.200 b=11.200 c=7.060 alpha=108.30 beta=108.30 gamma=87.75
Atoms (fractional coordinates):
1 Tl 0.250 0.750 0.750
2 Tl 0.750 0.250 0.250
3 Cu 0.176 0.325 0.394
4 Cu 0.325 0.176 0.894
5 Cu 0.675 0.824 0.106
6 Cu 0.824 0.675 0.606
7 I 0.041 0.746 0.906
8 I 0.171 0.330 0.757
9 I 0.246 0.542 0.382
10 I 0.254 0.959 0.594
11 I 0.330 0.171 0.257
12 I 0.458 0.754 0.118
13 I 0.542 0.246 0.882
14 I 0.670 0.829 0.743
15 I 0.746 0.041 0.406
16 I 0.754 0.458 0.618
17 I 0.829 0.670 0.243
18 I 0.959 0.254 0.094

Model ii:
Entry from the Alexandria database: an optimized crystal structure of TlCu2I6 (PBE).

Calculated volume (Å³/atom): 37.878

Unit cell a=7.520 b=7.520 c=9.074 alpha=100.64 beta=100.64 gamma=42.68
Atoms (fractional coordinates):
1 Tl 0.000 0.000 0.000
2 Cu 0.228 0.228 0.663
3 Cu 0.772 0.772 0.337
4 I 0.041 0.041 0.681
5 I 0.261 0.261 0.387
6 I 0.352 0.352 0.916
7 I 0.648 0.648 0.084
8 I 0.739 0.739 0.613
9 I 0.959 0.959 0.319

Tell me which of them is the most stable. Sure, it is model i.

Model i:
Entry from the Alexandria database: an optimized crystal structure of Tl2CuI6 (PBE).

Calculated volume (Å³/atom): 46.393

Unit cell a=6.013 b=11.095 c=13.849 alpha=90.00 beta=115.33 gamma=90.00
Atoms (fractional coordinates):
1 Tl 0.206 0.165 0.248
2 Tl 0.206 0.335 0.748
3 Tl 0.794 0.665 0.252
4 Tl 0.794 0.835 0.752
5 Cu 0.500 0.000 0.000
6 Cu 0.500 0.500 0.500
7 I 0.165 0.214 0.504
8 I 0.165 0.286 0.004
9 I 0.317 0.674 0.979
10 I 0.317 0.826 0.479
11 I 0.342 0.014 0.806
12 I 0.342 0.486 0.306
13 I 0.658 0.514 0.694
14 I 0.658 0.986 0.194
15 I 0.683 0.174 0.521
16 I 0.683 0.326 0.021
17 I 0.835 0.714 0.996
18 I 0.835 0.786 0.496

Model ii:
Entry from the Alexandria database: an optimized crystal structure of Tl2CuI6 (PBE).

Calculated volume (Å³/atom): 52.604

Unit cell a=11.956 b=11.956 c=7.330 alpha=107.54 beta=107.54 gamma=90.46
Atoms (fractional coordinates):
1 Tl 0.155 0.338 0.356
2 Tl 0.338 0.155 0.856
3 Tl 0.662 0.845 0.144
4 Tl 0.845 0.662 0.644
5 Cu 0.256 0.744 0.750
6 Cu 0.744 0.256 0.250
7 I 0.094 0.734 0.912
8 I 0.155 0.325 0.767
9 I 0.248 0.583 0.417
10 I 0.266 0.906 0.588
11 I 0.325 0.155 0.267
12 I 0.417 0.752 0.083
13 I 0.583 0.248 0.917
14 I 0.675 0.845 0.733
15 I 0.734 0.094 0.412
16 I 0.752 0.417 0.583
17 I 0.845 0.675 0.233
18 I 0.906 0.266 0.088

Tell me which of them is the most stable. Sure, it is model i.

Model i:
Entry from the Alexandria database: an optimized crystal structure of TlCu2I3 (PBE).

Calculated volume (Å³/atom): 35.460

Unit cell a=12.610 b=12.610 c=8.129 alpha=102.31 beta=102.31 gamma=19.71
Atoms (fractional coordinates):
1 Tl 0.135 0.135 0.359
2 Tl 0.865 0.865 0.641
3 Cu 0.220 0.220 0.039
4 Cu 0.448 0.448 0.013
5 Cu 0.552 0.552 0.987
6 Cu 0.780 0.780 0.961
7 I 0.110 0.110 0.929
8 I 0.257 0.257 0.759
9 I 0.470 0.470 0.713
10 I 0.530 0.530 0.287
11 I 0.743 0.743 0.241
12 I 0.890 0.890 0.071

Model ii:
Entry from the Alexandria database: an optimized crystal structure of TlCu2I3 (PBE).

Calculated volume (Å³/atom): 36.337

Unit cell a=7.712 b=4.307 c=13.454 alpha=90.00 beta=102.63 gamma=90.00
Atoms (fractional coordinates):
1 Tl 0.246 0.250 0.171
2 Tl 0.754 0.750 0.829
3 Cu 0.109 0.250 0.844
4 Cu 0.474 0.750 0.443
5 Cu 0.526 0.250 0.557
6 Cu 0.891 0.750 0.156
7 I 0.105 0.750 0.328
8 I 0.238 0.750 0.933
9 I 0.385 0.750 0.621
10 I 0.615 0.250 0.379
11 I 0.762 0.250 0.067
12 I 0.895 0.250 0.672

Tell me which of them is the most stable. Sure, it is model i.

Model i:
Entry from the Alexandria database: an optimized crystal structure of Tl2CuI3 (PBE).

Calculated volume (Å³/atom): 40.590

Unit cell a=7.987 b=7.987 c=9.127 alpha=108.66 beta=108.66 gamma=64.67
Atoms (fractional coordinates):
1 Tl 0.025 0.654 0.847
2 Tl 0.346 0.975 0.653
3 Tl 0.654 0.025 0.347
4 Tl 0.975 0.346 0.153
5 Cu 0.394 0.606 0.250
6 Cu 0.606 0.394 0.750
7 I 0.095 0.905 0.250
8 I 0.302 0.385 0.550
9 I 0.385 0.302 0.050
10 I 0.615 0.698 0.950
11 I 0.698 0.615 0.450
12 I 0.905 0.095 0.750

Model ii:
Entry from the Alexandria database: an optimized crystal structure of Tl2CuI3 (PBE).

Calculated volume (Å³/atom): 37.482

Unit cell a=10.079 b=4.611 c=19.356 alpha=90.00 beta=90.00 gamma=90.00
Atoms (fractional coordinates):
1 Tl 0.095 0.250 0.209
2 Tl 0.229 0.750 0.457
3 Tl 0.271 0.250 0.957
4 Tl 0.405 0.750 0.709
5 Tl 0.595 0.250 0.291
6 Tl 0.729 0.750 0.043
7 Tl 0.771 0.250 0.543
8 Tl 0.905 0.750 0.791
9 Cu 0.151 0.250 0.639
10 Cu 0.349 0.750 0.139
11 Cu 0.651 0.250 0.861
12 Cu 0.849 0.750 0.361
13 I 0.021 0.750 0.606
14 I 0.129 0.750 0.067
15 I 0.173 0.250 0.774
16 I 0.327 0.750 0.274
17 I 0.371 0.250 0.567
18 I 0.479 0.250 0.106
19 I 0.521 0.750 0.894
20 I 0.629 0.750 0.433
21 I 0.673 0.250 0.726
22 I 0.827 0.750 0.226
23 I 0.871 0.250 0.933
24 I 0.979 0.250 0.394

Model iii:
Entry from the Alexandria database: an optimized crystal structure of Tl2CuI3 (PBE).

Calculated volume (Å³/atom): 36.802

Unit cell a=9.309 b=9.861 c=9.621 alpha=90.00 beta=90.00 gamma=90.00
Atoms (fractional coordinates):
1 Tl 0.156 0.150 0.241
2 Tl 0.156 0.150 0.759
3 Tl 0.344 0.650 0.259
4 Tl 0.344 0.650 0.741
5 Tl 0.656 0.350 0.259
6 Tl 0.656 0.350 0.741
7 Tl 0.844 0.850 0.241
8 Tl 0.844 0.850 0.759
9 Cu 0.045 0.376 0.500
10 Cu 0.455 0.876 0.000
11 Cu 0.545 0.124 0.000
12 Cu 0.955 0.624 0.500
13 I 0.000 0.500 0.257
14 I 0.000 0.500 0.743
15 I 0.137 0.832 0.500
16 I 0.170 0.836 0.000
17 I 0.330 0.336 0.500
18 I 0.363 0.332 0.000
19 I 0.500 0.000 0.243
20 I 0.500 0.000 0.757
21 I 0.637 0.668 0.000
22 I 0.670 0.664 0.500
23 I 0.830 0.164 0.000
24 I 0.863 0.168 0.500

Tell me which of them is the most stable. Sure, it is model iii.